<A>
Below is a geometry-optimized La2CrCu structure, with properties calculated at the PBE-GGA level.

Lattice parameters (Å, degrees): 5.222 5.222 5.222 60.00 60.00 60.00
Element x y z (fractional)
La1 0.250 0.250 0.250
La2 0.750 0.750 0.750
Cr1 0.000 0.000 0.000
Cu1 0.500 0.500 0.500

Calculated values
The volume comes out at 100.7 Å³ per cell. The total magnetic moment comes out at 3.2 μB/cell. The theoretical density is 6.49 g cm⁻³. The space group is Fm-3m, No. 225.

<B>
Below is a geometry-optimized La2CrCu structure, with properties calculated at the PBE-GGA level.

Lattice parameters (Å, degrees): 3.706 3.706 7.372 90.00 90.00 90.00
Element x y z (fractional)
La1 0.000 0.000 0.244
La2 0.000 0.000 0.756
Cr1 0.500 0.500 0.500
Cu1 0.500 0.500 0.000

Calculated values
The volume comes out at 101.3 Å³ per cell. The total magnetic moment comes out at 3.3 μB/cell. The theoretical density is 6.45 g cm⁻³. The space group is P4/mmm, No. 123.

<C>
Below is a geometry-optimized La2CrCu structure, with properties calculated at the PBE-GGA level.

Lattice parameters (Å, degrees): 5.065 5.065 5.065 60.00 60.00 60.00
Element x y z (fractional)
La1 0.000 0.000 0.000
La2 0.250 0.250 0.250
Cr1 0.500 0.500 0.500
Cu1 0.750 0.750 0.750

Calculated values
The volume comes out at 91.9 Å³ per cell. The total magnetic moment comes out at 4.6 μB/cell. The theoretical density is 7.11 g cm⁻³. The space group is F-43m, No. 216.

The energy of each structure relative to the most stable one, in meV/atom, is as follows: <A> 18; <B> 0; <C> 107.

<A>
Below is a geometry-optimized LaCr2Cu2 structure, with properties calculated at the PBE-GGA level.

Lattice parameters (Å, degrees): 6.809 6.809 6.809 149.13 149.13 44.23
Element x y z (fractional)
La1 0.000 0.000 0.000
Cr1 0.250 0.750 0.500
Cr2 0.750 0.250 0.500
Cu1 0.392 0.392 0.000
Cu2 0.608 0.608 0.000

Calculated values
The volume comes out at 82.9 Å³ per cell. The total magnetic moment comes out at 0.0 μB/cell. The theoretical density is 7.41 g cm⁻³. The space group is I4/mmm, No. 139.

<B>
Below is a geometry-optimized LaCr2Cu2 structure, with properties calculated at the PBE-GGA level.

Lattice parameters (Å, degrees): 5.307 5.307 5.307 128.35 128.35 76.06
Element x y z (fractional)
La1 0.000 0.000 0.000
Cr1 0.393 0.393 0.000
Cr2 0.607 0.607 0.000
Cu1 0.250 0.750 0.500
Cu2 0.750 0.250 0.500

Calculated values
The volume comes out at 89.4 Å³ per cell. The total magnetic moment comes out at 0.0 μB/cell. The theoretical density is 6.87 g cm⁻³. The space group is I4/mmm, No. 139.

<C>
Below is a geometry-optimized LaCr2Cu2 structure, with properties calculated at the PBE-GGA level.

Lattice parameters (Å, degrees): 7.644 7.644 2.651 90.00 90.00 90.00
Element x y z (fractional)
La1 0.000 0.000 0.000
La2 0.500 0.500 0.000
Cr1 0.170 0.330 0.500
Cr2 0.330 0.830 0.500
Cr3 0.670 0.170 0.500
Cr4 0.830 0.670 0.500
Cu1 0.118 0.618 0.000
Cu2 0.382 0.118 0.000
Cu3 0.618 0.882 0.000
Cu4 0.882 0.382 0.000

Calculated values
The volume comes out at 154.9 Å³ per cell. The total magnetic moment comes out at 0.0 μB/cell. The theoretical density is 7.93 g cm⁻³. The space group is P4/mbm, No. 127.

The energy of each structure relative to the most stable one, in meV/atom, is as follows: <A> 76; <B> 0; <C> 335.